No. 1
Compound: NdGa3Cu
Source: Alexandria via LeMat-Bulk
Functional: meta-GGA SCAN
Structure: PBEsol geometry

Cell and atoms, written as extended XYZ:
```
5
Lattice="4.126 0.000 0.000 0.000 4.126 0.000 -2.063 -2.063 5.237" Properties=species:S:1:pos:R:3 pbc="T T T"
Ga 0.000 2.063 2.619
Ga 2.063 2.063 1.226
Cu 2.063 0.000 2.619
Nd 0.000 0.000 0.000
Ga 0.000 0.000 4.011
```

Properties
Energy of formation ... -0.61 eV per atom

No. 2
Compound: IrRuRh2
Source: Alexandria via LeMat-Bulk
Functional: meta-GGA SCAN
Structure: PBEsol geometry

Cell and atoms, written as extended XYZ:
```
4
Lattice="2.677 -0.002 0.000 1.337 2.319 0.000 1.338 0.773 8.745" Properties=species:S:1:pos:R:3 pbc="T T T"
Ru 2.676 1.545 4.375
Rh 4.014 2.318 6.529
Ir 1.338 0.772 2.217
Rh 1.338 0.773 8.741
```

Properties
E above lowest polymorph ... 12 meV per atom
Energy of formation ... -0.01 eV per atom

No. 3
Compound: TaBe2Tl
Source: Alexandria via LeMat-Bulk
Functional: meta-GGA SCAN
Structure: PBEsol geometry

Cell and atoms, written as extended XYZ:
```
4
Lattice="3.165 0.000 0.000 0.000 3.939 0.000 -1.583 -1.969 4.641" Properties=species:S:1:pos:R:3 pbc="T T T"
Be 0.000 1.969 2.552
Ta 1.583 1.969 0.096
Be 1.583 1.969 4.401
Tl 1.583 0.000 2.233
```

Properties
E above lowest polymorph ... 52 meV per atom
Energy of formation ... 0.44 eV per atom

No. 4
Compound: NaGe2Ru2
Source: Alexandria via LeMat-Bulk
Functional: meta-GGA SCAN
Structure: PBEsol geometry

Cell and atoms, written as extended XYZ:
```
5
Lattice="-1.774 0.174 3.692 -3.211 -2.100 -1.444 4.784 -3.441 0.185" Properties=species:S:1:pos:R:3 pbc="T T T"
Ru 0.259 -2.115 2.501
Ru -0.460 -3.252 -0.067
Na 0.000 0.000 0.000
Ge 1.720 -3.305 0.982
Ge -1.921 -2.062 1.451
```

Properties
Energy of formation ... -0.24 eV per atom

No. 5
Compound: Sr4AlSb
Source: Alexandria via LeMat-Bulk
Functional: meta-GGA SCAN
Structure: PBEsol geometry

Cell and atoms, written as extended XYZ:
```
6
Lattice="-6.090 2.319 -1.735 -2.159 -0.622 -6.358 -4.962 -4.324 -1.468" Properties=species:S:1:pos:R:3 pbc="T T T"
Sb 0.000 0.000 0.000
Sr -8.005 0.181 -4.452
Al -9.909 -1.970 -7.171
Sr -7.439 -3.155 -4.318
Sr -4.947 -0.984 -3.581
Sr -6.032 -1.296 -6.773
```

Properties
Final energy ... -131.80 eV for the cell shown

No. 6
Compound: CsTi2Cl7
Source: Alexandria via LeMat-Bulk
Functional: meta-GGA SCAN
Structure: PBEsol geometry

Cell and atoms, written as extended XYZ:
```
20
Lattice="-0.306 -1.493 6.262 7.011 -1.878 -0.568 2.992 10.381 2.622" Properties=species:S:1:pos:R:3 pbc="T T T"
Cl 4.432 -1.591 1.257
Cl 5.926 3.592 2.566
Cl 5.265 8.601 7.059
Cl 8.307 5.974 2.221
Cs 4.837 6.976 2.215
Cl 6.657 5.732 5.063
Cl 0.709 -0.561 1.596
Ti 8.664 6.954 4.436
Cl 8.988 7.571 6.720
Cl 2.182 4.548 2.886
Cl 2.857 6.742 5.402
Cl 7.516 2.462 5.430
Cs 4.861 0.034 6.102
Ti 1.859 2.920 4.604
Ti 1.034 0.056 3.880
Cl 3.771 3.418 5.750
Cl 3.041 1.278 3.253
Ti 7.838 4.090 3.713
Cl 6.841 0.268 2.915
Cl 1.391 1.036 6.096
```

Properties
E above lowest polymorph ... 0 meV per atom

No. 7
Compound: Mg2ZnIr
Source: Alexandria via LeMat-Bulk
Functional: meta-GGA SCAN
Structure: PBEsol geometry

Cell and atoms, written as extended XYZ:
```
4
Lattice="3.912 0.000 0.000 0.000 3.912 0.000 -1.956 -1.956 4.015" Properties=species:S:1:pos:R:3 pbc="T T T"
Mg 0.000 0.000 0.000
Mg 1.956 0.000 2.008
Ir 0.000 1.956 2.008
Zn 1.956 1.956 0.000
```

Properties
Energy of formation ... -0.39 eV per atom

No. 8
Compound: ZnTe2
Source: Alexandria via LeMat-Bulk
Functional: meta-GGA SCAN
Structure: PBEsol geometry

Cell and atoms, written as extended XYZ:
```
3
Lattice="-1.899 -1.646 1.912 2.350 -0.284 2.090 -2.435 7.423 1.362" Properties=species:S:1:pos:R:3 pbc="T T T"
Zn 0.225 -0.965 2.001
Te -1.376 3.713 4.437
Te -0.609 1.779 0.927
```

Properties
Final energy ... -87.27 eV for the cell shown